# 1
Density functional theory data (PBE-GGA) for a relaxed Be2ReSb crystal.

The structure belongs to space group I-4m2 (No. 119); the cell edges are 3.6530, 3.6530 and 8.1610 Å and the angles 90.00°, 90.00° and 90.00°. Symmetry generates all atoms from Be at (0.0000, 0.0000, 0.0000), Be at (0.0000, 0.5000, 0.2500), Re at (0.0000, 0.5000, 0.7500) and Sb at (0.0000, 0.0000, 0.5000).

The calculation puts the uncorrected formation energy at 431 meV per atom. The value obtained for the total energy is -5.575 eV/atom. The calculation puts the density at 9.94 g/cm3. The calculation puts the magnetic moment at 0.716 μB per formula unit.

# 2
Density functional theory data (PBE-GGA) for a relaxed Rb2ScUO6 crystal.

The structure belongs to space group Fm-3m (No. 225); the cell edges are 8.5131, 8.5131 and 8.5131 Å and the angles 90.00°, 90.00° and 90.00°. Symmetry generates all atoms from Rb at (0.2500, 0.2500, 0.2500), Sc at (0.0000, 0.0000, 0.0000), U at (0.0000, 0.0000, 0.5000) and O at (0.0000, 0.0000, 0.2536).

The calculation puts the uncorrected formation energy at -2621 meV per atom. The value obtained for the total energy is -7.552 eV/atom. The calculation puts the density at 5.92 g/cm3. The calculation puts the magnetic moment at 1.073 μB per formula unit.

Number 2 is which compound? Rb2ScUO6